Computed, not measured: a relaxed structure of PPtCS2 at the PBE level of DFT.

The energy above the most stable polymorph in this dataset is 741.0 meV per atom. As for the space-group type: P4/mmm, No. 123. The density of states at the Fermi level is 5.1 states/eV per cell. The spin magnetization comes out at 0.06 μB per formula unit. For the uncorrected formation energy, the calculation gives 9.9 eV/f.u.

a b c (Å): 4.8871 4.8871 4.4654
angles (deg): 90.00 90.00 90.00
Sites, in units of the cell vectors:
C 0.5000 0.5000 0.5000
Pt 0.0000 0.0000 0.0000
S 0.5000 0.0000 0.0000
P 0.0000 0.0000 0.5000
S 0.0000 0.5000 0.0000